# 1
DFT (PBE) results for an optimized crystal structure of Ba2MnAuN.

Summary:
Uncorrected formation energy ... -0.4595 eV/atom
SG ... P4/mmm
Density of states at the Fermi level ... 3.4 states/eV/cell

Lattice parameters (Å, degrees): 5.872 5.872 3.749 90.00 90.00 90.00
Positions (direct):
Ba (0.000, 0.500, 0.000)
Ba (0.500, 0.000, 0.000)
Mn (0.000, 0.000, 0.500)
Au (0.500, 0.500, 0.500)
N (0.000, 0.000, 0.000)

---

# 2
DFT (PBE) results for an optimized crystal structure of KAcReN4.

Summary:
Uncorrected formation energy ... -0.4315 eV/atom
SG ... P2_1/m
Density of states at the Fermi level ... 4.6 states/eV/cell

Lattice parameters (Å, degrees): 6.689 6.081 8.161 90.00 90.62 90.00
Positions (direct):
K (0.105, 0.250, 0.132)
K (0.895, 0.750, 0.868)
Ac (0.298, 0.250, 0.581)
Ac (0.702, 0.750, 0.419)
Re (0.200, 0.750, 0.354)
Re (0.800, 0.250, 0.646)
N (0.006, 0.250, 0.797)
N (0.079, 0.750, 0.553)
N (0.369, 0.513, 0.343)
N (0.369, 0.987, 0.343)
N (0.631, 0.013, 0.657)
N (0.631, 0.487, 0.657)
N (0.921, 0.250, 0.447)
N (0.994, 0.750, 0.203)

---

# 3
DFT (PBE) results for an optimized crystal structure of InPt2W.

Summary:
E_form ... 22 meV/atom
SG ... P4mm
Density of states at the Fermi level ... 2.4 states/eV/cell

Lattice parameters (Å, degrees): 3.307 3.307 6.252 90.00 90.00 90.00
Positions (direct):
In (0.000, 0.000, 0.000)
Pt (0.000, 0.000, 0.497)
Pt (0.500, 0.500, 0.240)
W (0.500, 0.500, 0.703)

---

# 4
DFT (PBE) results for an optimized crystal structure of SbAs2Br.

Summary:
Relative energy among the computed polymorphs ... 0.0 meV/atom
Uncorrected formation energy ... -0.0366 eV/atom
SG ... Cm

Lattice parameters (Å, degrees): 6.051 6.051 7.304 103.32 103.32 35.28
Positions (direct):
Sb (0.000, 0.000, 0.000)
As (0.584, 0.584, 0.341)
As (0.928, 0.928, 0.309)
Br (0.337, 0.337, 0.770)

---

# 5
DFT (PBE) results for an optimized crystal structure of K2UOs3O12.

Summary:
Uncorrected formation energy ... -1.6549 eV/atom
SG ... R-3m
Density of states at the Fermi level ... 6.0 states/eV/cell

Lattice parameters (Å, degrees): 7.504 7.504 7.504 57.83 57.83 57.83
Positions (direct):
K (0.130, 0.130, 0.130)
K (0.870, 0.870, 0.870)
U (0.500, 0.500, 0.500)
Os (0.000, 0.500, 0.500)
Os (0.500, 0.000, 0.500)
Os (0.500, 0.500, 0.000)
O (0.160, 0.577, 0.577)
O (0.196, 0.196, 0.574)
O (0.196, 0.574, 0.196)
O (0.423, 0.423, 0.840)
O (0.423, 0.840, 0.423)
O (0.426, 0.804, 0.804)
O (0.574, 0.196, 0.196)
O (0.577, 0.160, 0.577)
O (0.577, 0.577, 0.160)
O (0.804, 0.426, 0.804)
O (0.804, 0.804, 0.426)
O (0.840, 0.423, 0.423)

---

# 6
DFT (PBE) results for an optimized crystal structure of CaAc2Ag6.

Summary:
E_form ... -278 meV/atom
Relative energy among the computed polymorphs ... 0.0 meV/atom
SG ... P6/mmm
Density of states at the Fermi level ... 6.1 states/eV/cell

Lattice parameters (Å, degrees): 8.387 8.387 3.908 90.00 90.00 120.00
Positions (direct):
Ca (0.000, 0.000, 0.000)
Ac (0.333, 0.667, 0.000)
Ac (0.667, 0.333, 0.000)
Ag (0.000, 0.331, 0.500)
Ag (0.000, 0.669, 0.500)
Ag (0.331, 0.000, 0.500)
Ag (0.331, 0.331, 0.500)
Ag (0.669, 0.000, 0.500)
Ag (0.669, 0.669, 0.500)

---

# 7
DFT (PBE) results for an optimized crystal structure of Mn2TlIn.

Summary:
E_form ... 391 meV/atom
Relative energy among the computed polymorphs ... 0.0 meV/atom
SG ... Imm2
Density of states at the Fermi level ... 2.4 states/eV/cell

Lattice parameters (Å, degrees): 5.841 5.841 5.841 147.87 132.90 58.16
Positions (direct):
Mn (0.000, 0.000, 0.000)
Mn (0.784, 0.284, 0.500)
Tl (0.529, 0.529, 0.000)
In (0.256, 0.756, 0.500)

---

# 8
DFT (PBE) results for an optimized crystal structure of Hf2Cr2Sn.

Summary:
E_form ... -2 meV/atom
SG ... P4/mbm
Density of states at the Fermi level ... 14.6 states/eV/cell

Lattice parameters (Å, degrees): 7.130 7.130 3.536 90.00 90.00 90.00
Positions (direct):
Hf (0.186, 0.314, 0.000)
Hf (0.314, 0.814, 0.000)
Hf (0.686, 0.186, 0.000)
Hf (0.814, 0.686, 0.000)
Cr (0.101, 0.601, 0.500)
Cr (0.399, 0.101, 0.500)
Cr (0.601, 0.899, 0.500)
Cr (0.899, 0.399, 0.500)
Sn (0.000, 0.000, 0.500)
Sn (0.500, 0.500, 0.500)

---

# 9
DFT (PBE) results for an optimized crystal structure of Ce2Er3Zn3.

Summary:
E_form ... -210 meV/atom
SG ... Immm
Density of states at the Fermi level ... 12.9 states/eV/cell

Lattice parameters (Å, degrees): 11.317 11.317 11.317 162.35 154.23 31.41
Positions (direct):
Ce (0.233, 0.233, 0.000)
Ce (0.767, 0.767, 0.000)
Er (0.000, 0.000, 0.000)
Er (0.384, 0.884, 0.500)
Er (0.616, 0.116, 0.500)
Zn (0.114, 0.614, 0.500)
Zn (0.500, 0.500, 0.000)
Zn (0.886, 0.386, 0.500)

---

# 10
DFT (PBE) results for an optimized crystal structure of Er2Hg2Au.

Summary:
E_form ... -499 meV/atom
Relative energy among the computed polymorphs ... 0.0 meV/atom
SG ... Cmmm
Density of states at the Fermi level ... 2.6 states/eV/cell

Lattice parameters (Å, degrees): 10.114 10.114 3.444 90.00 90.00 159.55
Positions (direct):
Er (0.092, 0.908, 0.000)
Er (0.908, 0.092, 0.000)
Hg (0.309, 0.691, 0.500)
Hg (0.691, 0.309, 0.500)
Au (0.500, 0.500, 0.500)

---

# 11
DFT (PBE) results for an optimized crystal structure of CsPuAu2Br8.

Summary:
Uncorrected formation energy ... -0.8625 eV/atom
SG ... P-1
Density of states at the Fermi level ... 11.6 states/eV/cell

Lattice parameters (Å, degrees): 7.064 7.387 9.999 74.73 70.11 82.96
Positions (direct):
Cs (0.000, 0.000, 0.000)
Pu (0.500, 0.000, 0.500)
Au (0.326, 0.416, 0.199)
Au (0.674, 0.584, 0.801)
Br (0.131, 0.857, 0.648)
Br (0.249, 0.496, 0.970)
Br (0.318, 0.369, 0.455)
Br (0.476, 0.938, 0.248)
Br (0.524, 0.062, 0.752)
Br (0.682, 0.631, 0.545)
Br (0.751, 0.504, 0.030)
Br (0.869, 0.143, 0.352)

---

# 12
DFT (PBE) results for an optimized crystal structure of Cs3BiBr.

Summary:
Relative energy among the computed polymorphs ... 289.5 meV/atom
Uncorrected formation energy ... -0.5996 eV/atom
SG ... Pm-3m
Density of states at the Fermi level ... 4.8 states/eV/cell

Lattice parameters (Å, degrees): 7.381 7.381 7.381 90.00 90.00 90.00
Positions (direct):
Cs (0.000, 0.000, 0.500)
Cs (0.000, 0.500, 0.000)
Cs (0.500, 0.000, 0.000)
Bi (0.000, 0.000, 0.000)
Br (0.500, 0.500, 0.500)